Density functional theory data (PBE) for a relaxed structure of Ac2Si3GePt4.

POSCAR file:
```
Ac2Si3GePt4
1.0
4.4332 0.0000 0.0000
0.0000 4.4332 0.0000
0.0000 0.0000 10.0177
Ac Si Ge Pt
2 3 1 4
Direct
0.0000 0.5000 0.2473
0.5000 0.0000 0.7527
0.0000 0.0000 0.0000
0.0000 0.5000 0.6233
0.5000 0.0000 0.3767
0.5000 0.5000 0.0000
0.0000 0.0000 0.5000
0.0000 0.5000 0.8735
0.5000 0.0000 0.1265
0.5000 0.5000 0.5000
```

Results
The crystal system is tetragonal. The value obtained for the density of states at the Fermi level is 6.17 states/eV per cell. Its electronic total energy is -63.5 eV per formula unit. The density comes out at 11.73 Mg/m³. As for the size of the total moment: 0.0 Bohr magnetons per cell.